VASP calculation (PBE) on a relaxed structure of Sc2TaNb.

```
Sc2TaNb
1.0
-4.0712 -2.4686 0.8957
-4.1407 2.3751 0.8271
-3.5486 -0.0976 -3.2967
Sc Nb Ta
2 1 1
Direct
0.7500 0.7500 0.7500 Sc
0.2500 0.2500 0.2500 Sc
0.0000 0.0000 0.0000 Nb
0.5000 0.5000 0.5000 Ta
```

Values from the calculation:
Symmetry: Fm-3m (225)
Excess energy over the best structure of this formula in the dataset (meV/atom): 4.2
Magnetization (μB/cell): 0.00
E_form (eV/atom): 0.39